[1]
MnRe2As | the Alexandria database | PBE | optimized geometry; energy of formation = 0.13 eV per atom; SG = P4mm
1.0
2.9182 0.0000 0.0000
0.0000 2.9182 0.0000
0.0000 0.0000 6.4782
Mn Re As
1 2 1
Direct
0.0000 0.0000 0.0000
0.0000 0.0000 0.5280
0.5000 0.5000 0.2607
0.5000 0.5000 0.7950


[2]
MnRe2As | the Alexandria database | PBE | optimized geometry; energy of formation = 0.20 eV per atom; SG = R3m
1.0
1.4073 0.8125 8.3016
-1.4073 0.8125 8.3016
0.0000 -1.6250 8.3016
Mn Re As
1 2 1
Direct
0.0000 0.0000 0.0000
0.2508 0.2508 0.2508
0.4971 0.4971 0.4971
0.7420 0.7420 0.7420


[3]
MnRe4As | the Alexandria database | PBE | optimized geometry; energy of formation = 0.68 eV per atom; SG = F-43m
1.0
0.0000 3.6891 3.6891
3.6891 0.0000 3.6891
3.6891 3.6891 0.0000
Mn Re As
1 4 1
Direct
0.0000 0.0000 0.0000
0.1248 0.6251 0.6251
0.6251 0.1248 0.6251
0.6251 0.6251 0.1248
0.6251 0.6251 0.6251
0.2500 0.2500 0.2500